Record 1
Computed, not measured: a crystal of Li2ZnRe relaxed with PBEsol at the meta-GGA SCAN level of DFT.

E_tot in eV per atom: -22.22

abc: 2.475 4.801 5.324
angles: 115.85 101.75 93.65
Fractional coordinates of all 4 atoms:
Li: 0.000 0.000 0.500
Li: 0.500 0.500 0.500
Re: 0.500 0.000 0.000
Zn: 0.000 0.500 0.000

***

Record 2
Computed, not measured: a crystal of CrIrOs2 relaxed with PBEsol at the meta-GGA SCAN level of DFT.

E_tot in eV per atom: -58.27

abc: 2.670 3.745 5.362
angles: 90.00 90.00 90.00
Fractional coordinates of all 4 atoms:
Cr: 0.500 0.500 0.000
Ir: 0.500 0.500 0.500
Os: 0.000 0.000 0.764
Os: 0.000 0.000 0.236

***

Record 3
Computed, not measured: a crystal of ScCr2Te relaxed with PBEsol at the meta-GGA SCAN level of DFT.

E_tot in eV per atom: -21.80
ΔE_f (raw) in meV per atom: 263

abc: 3.090 4.960 5.361
angles: 116.55 105.26 93.11
Fractional coordinates of all 4 atoms:
Cr: 0.000 0.000 0.500
Cr: 0.500 0.500 0.500
Sc: 0.500 0.000 0.000
Te: 0.000 0.500 0.000

***

Record 4
Computed, not measured: a crystal of LiPt2Cl relaxed with PBEsol at the meta-GGA SCAN level of DFT.

E_tot in eV per atom: -38.07
ΔE_f (raw) in meV per atom: -378

abc: 3.582 3.582 5.209
angles: 90.00 90.00 90.00
Fractional coordinates of all 4 atoms:
Cl: 0.500 0.500 0.596
Li: 0.000 0.000 0.666
Pt: 0.500 0.500 0.080
Pt: 0.000 0.000 0.158

***

Record 5
Computed, not measured: a crystal of Fe2OsRh relaxed with PBEsol at the meta-GGA SCAN level of DFT.

E_tot in eV per atom: -35.15

abc: 2.581 4.399 4.399
angles: 107.96 90.00 90.00
Fractional coordinates of all 4 atoms:
Fe: 0.000 0.500 0.000
Fe: 0.000 0.000 0.500
Os: 0.500 0.000 0.000
Rh: 0.500 0.500 0.500

***

Record 6
Computed, not measured: a crystal of IrPbCl2 relaxed with PBEsol at the meta-GGA SCAN level of DFT.

E_tot in eV per atom: -40.33
ΔE_f (raw) in meV per atom: 379

abc: 3.143 4.483 5.470
angles: 90.00 90.00 90.00
Fractional coordinates of all 4 atoms:
Pb: 0.000 0.500 0.500
Ir: 0.500 0.500 0.000
Cl: 0.000 0.000 0.000
Cl: 0.500 0.000 0.500

***

Record 7
Computed, not measured: a crystal of La2MnRh relaxed with PBEsol at the meta-GGA SCAN level of DFT.

E_tot in eV per atom: -34.92

abc: 3.538 4.506 6.370
angles: 110.71 106.12 90.00
Fractional coordinates of all 4 atoms:
La: 0.026 0.526 0.051
La: 0.236 0.236 0.473
Mn: 0.446 0.946 0.893
Rh: 0.792 0.792 0.583

***

Record 8
Computed, not measured: a crystal of BaLaNi relaxed with PBEsol at the meta-GGA SCAN level of DFT.

E_tot in eV per atom: -32.80

abc: 5.022 5.022 5.022
angles: 60.00 60.00 60.00
Fractional coordinates of all 3 atoms:
Ba: 0.000 0.000 0.000
La: 0.500 0.500 0.500
Ni: 0.250 0.250 0.250

***

Q: The highest E_tot belongs to which entry?
A: ScCr2Te